# 1
Crystalline CdSb2W at its relaxed geometry. Source: the Alexandria database, functional PBE.

abc: 3.3381 3.3381 8.3934
angles: 90.00 90.00 90.00
Last column: nearest neighbours and their distance in Å.
Fractional coordinates of all 4 atoms:
Sb: 0.0000 0.0000 0.0544  4 W 2.88
Sb: 0.0000 0.0000 0.4456  4 W 2.88
W: 0.5000 0.5000 0.2500  8 Sb 2.88
Cd: 0.5000 0.5000 0.7500  4 Cd 3.34, 8 Sb 3.48

## Properties
formation energy without anion corrections	0.33	eV per atom

# 2
Crystalline CdSbW2 at its relaxed geometry. Source: the Alexandria database, functional PBE.

abc: 3.2447 3.2424 8.2848
angles: 78.76 90.00 90.00
Last column: nearest neighbours and their distance in Å.
Fractional coordinates of all 4 atoms:
Sb: 0.5000 0.5323 0.8096  5 W 2.97-3.20, 4 Sb 3.24
W: 0.0000 0.9165 0.0419  4 W 2.64
W: 0.5000 0.3358 0.2037  4 W 2.64
Cd: 0.0000 0.7155 0.4448  5 W 3.02-3.27, 4 Cd 3.24

## Properties
formation energy without anion corrections	0.40	eV per atom